Entry a
Density functional theory data (GGA-PBE) for KNaMg2 after structural relaxation.

Lattice parameters (Å, degrees): 5.655 5.655 12.310 76.72 76.72 90.00
Sites, in units of the cell vectors:
Na: 0.500 0.500 0.000
Na: 0.250 0.750 0.500
K: 0.000 0.000 0.000
K: 0.750 0.250 0.500
Mg: 0.438 0.125 0.250
Mg: 0.312 0.625 0.250
Mg: 0.375 0.562 0.750
Mg: 0.875 0.688 0.750

Summary:
Fermi-level density of states = 0.73 states/eV per atom
Symmetry = I-42d


Entry b
Density functional theory data (GGA-PBE) for KNaMg2 after structural relaxation.

Lattice parameters (Å, degrees): 5.865 5.865 5.865 60.00 60.00 60.00
Sites, in units of the cell vectors:
Na: 0.000 0.000 0.000
K: 0.500 0.500 0.500
Mg: 0.250 0.250 0.250
Mg: 0.750 0.750 0.750

Summary:
Fermi-level density of states = 0.65 states/eV per atom
Symmetry = Fm-3m


Q: What are the energies relative to the best structure? A: entry a 9.6; entry b 0.0, in kJ/mol of atoms.


Entry a
Density functional theory data (GGA-PBE) for KNa2Mg2 after structural relaxation.

Lattice parameters (Å, degrees): 4.292 4.292 11.337 79.09 79.09 90.00
Sites, in units of the cell vectors:
Na: 0.372 0.372 0.255
Na: 0.628 0.628 0.745
K: 0.000 0.000 0.000
Mg: 0.750 0.250 0.500
Mg: 0.250 0.750 0.500

Summary:
Fermi-level density of states = 0.47 states/eV per atom
Symmetry = I4/mmm


Entry b
Density functional theory data (GGA-PBE) for KNa2Mg2 after structural relaxation.

Lattice parameters (Å, degrees): 9.961 9.961 3.547 90.00 90.00 90.00
Sites, in units of the cell vectors:
Na: 0.179 0.679 0.500
Na: 0.679 0.821 0.500
Na: 0.821 0.321 0.500
Na: 0.321 0.179 0.500
K: 0.000 0.000 0.000
K: 0.500 0.500 0.000
Mg: 0.389 0.889 0.000
Mg: 0.889 0.611 0.000
Mg: 0.611 0.111 0.000
Mg: 0.111 0.389 0.000

Summary:
Fermi-level density of states = 0.43 states/eV per atom
Symmetry = P4/mbm


Q: What are the energies relative to the best structure? A: entry a 4.9; entry b 0.0, in kJ/mol of atoms.


Entry a
Density functional theory data (GGA-PBE) for KNa3Mg after structural relaxation.

Lattice parameters (Å, degrees): 6.183 6.183 6.183 90.00 90.00 90.00
Sites, in units of the cell vectors:
Na: 0.000 0.500 0.000
Na: 0.000 0.000 0.500
Na: 0.500 0.000 0.000
K: 0.500 0.500 0.500
Mg: 0.000 0.000 0.000

Summary:
Fermi-level density of states = 0.68 states/eV per atom
Symmetry = Pm-3m


Entry b
Density functional theory data (GGA-PBE) for KNa3Mg after structural relaxation.

Lattice parameters (Å, degrees): 6.362 6.362 6.362 90.00 90.00 90.00
Sites, in units of the cell vectors:
Na: 0.000 0.500 0.000
Na: 0.000 0.000 0.500
Na: 0.500 0.000 0.000
K: 0.000 0.000 0.000
Mg: 0.500 0.500 0.500

Summary:
Fermi-level density of states = 0.60 states/eV per atom
Symmetry = Pm-3m


Q: What are the energies relative to the best structure? A: entry a 0.0; entry b 35.2, in kJ/mol of atoms.